Computed, not measured: a relaxed PrZrAl crystal at the PBE level of DFT.

Geometry as extended XYZ:
```
9
Lattice="-2.331 -3.348 -2.215 5.222 -5.090 2.197 -6.087 1.342 4.377" Properties=species:S:1:pos:R:3 pbc="T T T"
Al 0.287 -4.620 1.816
Al -3.483 -2.476 2.543
Al 0.000 0.000 0.000
Pr -0.500 -2.167 3.801
Pr -2.567 0.566 1.846
Pr 2.203 -2.147 0.927
Zr -5.847 -0.642 2.259
Zr 2.851 -5.589 0.582
Zr -1.365 -2.539 0.411
```

Output
Electronic total energy = -5.860 eV/atom


Computed, not measured: a relaxed PrZr2Al crystal at the PBE level of DFT.

Geometry as extended XYZ:
```
4
Lattice="-2.886 1.108 0.585 -1.246 -2.696 -1.039 0.412 -3.614 8.882" Properties=species:S:1:pos:R:3 pbc="T T T"
Pr -1.860 -2.601 4.214
Al -2.066 -0.794 -0.227
Zr 0.328 -2.875 7.067
Zr 0.084 -0.739 1.815
```

Output
Electronic total energy = -6.492 eV/atom


Computed, not measured: a relaxed PrZr2Al crystal at the PBE level of DFT.

Geometry as extended XYZ:
```
4
Lattice="-2.743 -2.421 -2.612 2.693 -3.669 0.573 -2.440 -1.215 3.689" Properties=species:S:1:pos:R:3 pbc="T T T"
Pr -1.245 -3.652 0.825
Al -1.372 -1.211 -1.306
Zr -1.220 -0.607 1.844
Zr 1.346 -1.834 0.286
```

Output
Electronic total energy = -6.501 eV/atom


Number 1: energy relative to the lowest polymorph listed for this composition 0.000 eV per atom, formation enthalpy at 0 K -0.170 eV/atom. Number 2: energy relative to the lowest polymorph listed for this composition 0.009 eV per atom, formation enthalpy at 0 K -0.088 eV/atom. Number 3: energy relative to the lowest polymorph listed for this composition 0.000 eV per atom, formation enthalpy at 0 K -0.096 eV/atom.